This record from Alexandria via LeMat-Bulk describes crystalline CsMgCo3 at its relaxed geometry. The functional is PBE.

Summary:
Its energy above the most stable polymorph in this dataset is 0 kJ/mol of formula units. Its total energy is -15.97 eV/f.u. The space group is Pm-3m. The calculation puts the density of states at the Fermi level at 8.92 states/eV/f.u. The formation energy comes out at 1.559 eV/atom.

```
data_CsMgCo3
_space_group_name_H-M_alt 'P 1'
_space_group_IT_number 1
_cell_length_a 4.973
_cell_length_b 4.973
_cell_length_c 4.973
_cell_angle_alpha 90.00
_cell_angle_beta 90.00
_cell_angle_gamma 90.00
loop_
_space_group_symop_operation_xyz
'x,y,z'
loop_
_atom_site_label
_atom_site_type_symbol
_atom_site_fract_x
_atom_site_fract_y
_atom_site_fract_z
Cs1 Cs 0.000 0.000 0.000
Mg1 Mg 0.500 0.500 0.500
Co1 Co 0.000 0.500 0.500
Co2 Co 0.500 0.000 0.500
Co3 Co 0.500 0.500 0.000
```



This record from Alexandria via LeMat-Bulk describes crystalline MgZrTl2 at its relaxed geometry. The functional is PBE.

Summary:
Its total energy is -14.89 eV/f.u. The space group is P2/m. The calculation puts the density of states at the Fermi level at 2.88 states/eV/f.u. The formation energy comes out at -0.005 eV/atom.

```
data_MgZrTl2
_space_group_name_H-M_alt 'P 1'
_space_group_IT_number 1
_cell_length_a 5.369
_cell_length_b 3.330
_cell_length_c 5.876
_cell_angle_alpha 90.00
_cell_angle_beta 113.45
_cell_angle_gamma 90.00
loop_
_space_group_symop_operation_xyz
'x,y,z'
loop_
_atom_site_label
_atom_site_type_symbol
_atom_site_fract_x
_atom_site_fract_y
_atom_site_fract_z
Mg1 Mg 0.000 0.000 0.000
Zr1 Zr 0.000 0.500 0.500
Tl1 Tl 0.500 0.000 0.500
Tl2 Tl 0.500 0.500 0.000
```